# 1
{"formula": "TlAgSnS3", "functional": "PBE", "state": "relaxed", "spacegroup": "No. 62", "de_polymorph_mev_per_atom": 22, "crystal_system": "orthorhombic", "density_g_cm3": 5.91, "cell": [[-4.687, 3.276, -8.033], [0.001, -3.583, -1.461], [-13.664, -2.791, 6.834]], "species": ["Ag", "Ag", "Ag", "Ag", "S", "S", "S", "S", "S", "S", "S", "S", "S", "S", "S", "S", "Sn", "Sn", "Sn", "Sn", "Tl", "Tl", "Tl", "Tl"], "fractional_positions": [[0.237, 0.750, 0.152], [0.737, 0.750, 0.348], [0.263, 0.250, 0.652], [0.763, 0.250, 0.848], [0.802, 0.250, 0.002], [0.472, 0.250, 0.098], [0.778, 0.750, 0.196], [0.278, 0.750, 0.304], [0.972, 0.250, 0.402], [0.302, 0.250, 0.498], [0.698, 0.750, 0.502], [0.028, 0.750, 0.598], [0.722, 0.250, 0.696], [0.222, 0.250, 0.804], [0.528, 0.750, 0.902], [0.198, 0.750, 0.998], [0.645, 0.750, 0.057], [0.145, 0.750, 0.443], [0.855, 0.250, 0.557], [0.355, 0.250, 0.943], [0.987, 0.250, 0.167], [0.487, 0.250, 0.333], [0.513, 0.750, 0.667], [0.013, 0.750, 0.833]]}

# 2
{"formula": "BaTbPO", "functional": "PBE", "state": "relaxed", "spacegroup": "No. 26", "de_polymorph_mev_per_atom": 0, "crystal_system": "orthorhombic", "density_g_cm3": 4.91, "cell": [[4.620, 0.000, 0.000], [0.000, 7.602, 0.000], [0.000, 0.000, 6.604]], "species": ["Ba", "Ba", "O", "O", "P", "P", "Tb", "Tb"], "fractional_positions": [[0.000, 0.700, 0.445], [0.000, 0.300, 0.945], [0.500, 0.872, 0.358], [0.500, 0.128, 0.858], [0.000, 0.282, 0.427], [0.000, 0.718, 0.927], [0.500, 0.880, 0.025], [0.500, 0.120, 0.525]]}

# 3
{"formula": "TmLuSi", "functional": "PBE", "state": "relaxed", "spacegroup": "No. 216", "de_polymorph_mev_per_atom": 0, "crystal_system": "cubic", "density_g_cm3": 8.18, "cell": [[-0.712, -2.263, 4.108], [-4.405, -0.545, 1.676], [-2.014, -4.295, 0.024]], "species": ["Lu", "Si", "Tm"], "fractional_positions": [[0.250, 0.250, 0.250], [0.000, 0.000, 0.000], [0.750, 0.750, 0.750]]}

# 4
{"formula": "LiHfGaNi", "functional": "PBE", "state": "relaxed", "spacegroup": "No. 216", "de_polymorph_mev_per_atom": 193, "crystal_system": "cubic", "density_g_cm3": 8.61, "cell": [[0.000, 3.117, 3.117], [3.117, 0.000, 3.117], [3.117, 3.117, 0.000]], "species": ["Ga", "Hf", "Li", "Ni"], "fractional_positions": [[0.000, 0.000, 0.000], [0.250, 0.250, 0.250], [0.750, 0.750, 0.750], [0.500, 0.500, 0.500]]}